1.
First-principles (PBE) data for a relaxed NaSi3I crystal, as listed in Alexandria via LeMat-Bulk.

N(E_F) = 2.0 states/eV per cell
size of the total moment = 0.00 μB per formula unit
uncorrected formation energy = 1.308 eV per atom
polymorph energy (0 for the lowest one) = 0 meV per atom
space group = No. 221

a = 5.414 Å, b = 5.414 Å, c = 5.414 Å
α = 90.00°, β = 90.00°, γ = 90.00°
Atoms (fractional coordinates):
I1 0.000 0.000 0.000
Na1 0.500 0.500 0.500
Si1 0.000 0.500 0.000
Si2 0.000 0.000 0.500
Si3 0.500 0.000 0.000

---

2.
First-principles (PBE) data for a relaxed AgW2 crystal, as listed in Alexandria via LeMat-Bulk.

DFT formation energy = 586 meV per atom
N(E_F) = 4.4 states/eV per cell
size of the total moment = 0.00 μB per formula unit
polymorph energy (0 for the lowest one) = 84 meV per atom
space group = No. 8

a = 5.629 Å, b = 5.629 Å, c = 6.993 Å
α = 75.43°, β = 75.43°, γ = 27.63°
Atoms (fractional coordinates):
Ag1 0.001 0.001 0.996
Ag2 0.340 0.340 0.327
W1 0.611 0.611 0.290
W2 0.941 0.941 0.621
W3 0.670 0.670 0.653
W4 0.271 0.271 0.946

---

3.
First-principles (PBE) data for a relaxed Sr3ScGa2O8 crystal, as listed in Alexandria via LeMat-Bulk.

N(E_F) = 12.4 states/eV per cell
size of the total moment = 1.03 μB per formula unit
uncorrected formation energy = -2.459 eV per atom
space group = No. 164

a = 5.738 Å, b = 5.738 Å, c = 7.218 Å
α = 90.00°, β = 90.00°, γ = 120.00°
Each line ends with the local moment (μB).
Atoms (fractional coordinates):
Sr1 0.333 0.667 0.638  0.00
Sr2 0.667 0.333 0.362  0.00
Sr3 0.000 0.000 0.000  0.00
Sc1 0.000 0.000 0.500  -0.01
Ga1 0.333 0.667 0.206  0.00
Ga2 0.667 0.333 0.794  0.00
O1 0.333 0.667 0.958  0.19
O2 0.667 0.333 0.042  0.19
O3 0.166 0.834 0.323  0.08
O4 0.834 0.166 0.677  0.08
O5 0.166 0.332 0.323  0.08
O6 0.834 0.668 0.677  0.08
O7 0.668 0.834 0.323  0.08
O8 0.332 0.166 0.677  0.08